No. 1
First-principles (GGA-PBE) data for Ho5AlHg3 after structural relaxation, as listed in the Alexandria database.

Lattice parameters (Å, degrees): 6.593 9.033 9.034 120.00 90.00 90.00
Fractional coordinates of all 18 atoms:
Ho  0.000  0.667  0.333
Ho  0.500  0.333  0.667
Ho  0.000  0.333  0.667
Ho  0.500  0.667  0.333
Ho  0.750  0.717  0.717
Ho  0.750  0.000  0.283
Ho  0.750  0.283  0.000
Ho  0.250  0.283  0.283
Ho  0.250  0.000  0.717
Ho  0.250  0.717  0.000
Al  0.000  0.000  0.000
Al  0.500  0.000  0.000
Hg  0.750  0.379  0.379
Hg  0.750  0.000  0.621
Hg  0.750  0.621  0.000
Hg  0.250  0.621  0.621
Hg  0.250  0.000  0.379
Hg  0.250  0.379  0.000

Results
Its energy relative to the elements is -36.3 kJ/mol of atoms. Its density is 10.36 g/cm3. Its density of states at the Fermi level is 17.0 states/eV per cell.

No. 2
First-principles (GGA-PBE) data for NaNd2Cl6 after structural relaxation, as listed in the Alexandria database.

Lattice parameters (Å, degrees): 7.281 6.520 11.424 90.00 90.01 90.00
Site moments in Bohr magnetons follow the coordinates.
Fractional coordinates of all 18 atoms:
Na  0.500  0.500  0.000  0.00
Na  0.000  0.000  0.500  0.00
Nd  0.000  0.498  0.837  0.27
Nd  0.500  0.998  0.663  0.27
Nd  0.500  0.002  0.337  0.27
Nd  0.000  0.502  0.163  0.27
Cl  0.817  0.763  0.328  0.00
Cl  0.818  0.759  0.671  0.00
Cl  0.814  0.744  0.999  0.01
Cl  0.686  0.244  0.501  0.01
Cl  0.682  0.259  0.829  0.00
Cl  0.683  0.263  0.172  0.00
Cl  0.183  0.237  0.672  0.00
Cl  0.182  0.241  0.329  0.00
Cl  0.186  0.256  0.001  0.01
Cl  0.314  0.756  0.499  0.01
Cl  0.318  0.741  0.171  0.00
Cl  0.317  0.737  0.828  0.00

Results
Its density is 3.21 g/cm3. Its density of states at the Fermi level is 0.9 states/eV per cell. The formation energy from raw total energies comes out at -18.30 eV per formula unit. The energy relative to the lowest polymorph listed for this composition is 0.011 eV/atom.

No. 3
First-principles (GGA-PBE) data for BaIn3Os after structural relaxation, as listed in the Alexandria database.

Lattice parameters (Å, degrees): 6.056 6.056 6.056 90.00 90.00 90.00
Fractional coordinates of all 5 atoms:
Os  0.500  0.500  0.500
Ba  0.000  0.000  0.000
In  0.000  0.500  0.000
In  0.000  0.000  0.500
In  0.500  0.000  0.000

Results
Its energy relative to the elements is 223.0 kJ/mol of atoms. Its density is 5.03 g/cm3. Its density of states at the Fermi level is 17.7 states/eV per cell. The energy relative to the lowest polymorph listed for this composition is 2.447 eV/atom.